A plane-wave DFT calculation with PBE was carried out for a geometry-optimized FeAgTeAs2 structure.

Unit cell a=4.444 b=4.444 c=5.312 alpha=90.00 beta=90.00 gamma=90.00
Space group P4/mmm (No. 123)
Unique sites:
Fe1 0.000 0.000 0.000
Ag1 0.000 0.000 0.500
Te1 0.500 0.500 0.500
As1 0.000 0.500 0.000

Results
For the uncorrected formation energy, the calculation gives 0.360 eV/atom. For the density of states at the Fermi level, the calculation gives 3.74 states/eV/f.u.